DFT (PBE+U) results for a relaxed structure of CaMnF5.

a b c (Å): 5.5107 10.0990 8.0343
angles (deg): 90.00 111.10 90.00
Closest atoms and distances in Å follow each position.
Fractional positions:
1 Ca 0.0294 0.0196 0.2549  6 F 2.24-2.49
2 Ca 0.0294 0.4804 0.7549  6 F 2.24-2.49
3 Ca 0.9706 0.5196 0.2451  6 F 2.24-2.49
4 Ca 0.9706 0.9804 0.7451  6 F 2.24-2.49
5 Mn 0.3829 0.2474 0.5980  4 F 1.86-1.94
6 Mn 0.3829 0.2526 0.0980  4 F 1.86-1.94
7 Mn 0.6171 0.7474 0.9020  4 F 1.86-1.94
8 Mn 0.6171 0.7526 0.4020  4 F 1.86-1.94
9 F 0.1055 0.1190 0.5586  1 Mn 1.94
10 F 0.1055 0.3810 0.0586  1 Mn 1.94
11 F 0.1362 0.1127 0.0023  1 Mn 1.92
12 F 0.1362 0.3873 0.5023  1 Mn 1.92
13 F 0.3247 0.1925 0.3330  2 Mn 2.11, 1 Ca 2.31
14 F 0.3247 0.3075 0.8330  2 Mn 2.11, 1 Ca 2.31
15 F 0.3415 0.6339 0.3643  1 Mn 1.87
16 F 0.3415 0.8661 0.8643  1 Mn 1.87
17 F 0.3811 0.6105 0.8069  1 Mn 1.86
18 F 0.3811 0.8895 0.3069  1 Mn 1.86
19 F 0.6189 0.1105 0.6931  1 Mn 1.86
20 F 0.6189 0.3895 0.1931  1 Mn 1.86
21 F 0.6585 0.1339 0.1357  1 Mn 1.87
22 F 0.6585 0.3661 0.6357  1 Mn 1.87
23 F 0.6753 0.6925 0.1670  2 Mn 2.11, 1 Ca 2.31
24 F 0.6753 0.8075 0.6670  2 Mn 2.11, 1 Ca 2.31
25 F 0.8638 0.6127 0.4977  1 Mn 1.92
26 F 0.8638 0.8873 0.9977  1 Mn 1.92
27 F 0.8945 0.6190 0.9414  1 Mn 1.94
28 F 0.8945 0.8810 0.4414  1 Mn 1.94

Symmetry   P2_1/c (14)
Electronic total energy   -5.79 eV per atom
Offset from the most stable computed form   0.0038 eV per atom